[1]
The following is a PBE calculation of a geometry-optimized Ca3Cd2In structure, from the Alexandria database.

```
data_Ca3Cd2In
_chemical_formula_sum 'Ca3 Cd2 In1'
_symmetry_space_group_name_H-M 'P 4/m m m'
_symmetry_Int_Tables_number 123
_symmetry_space_group_name_Hall '-P 4 2'
_cell_length_a 3.8662
_cell_length_b 3.8662
_cell_length_c 11.3967
_cell_angle_alpha 90.00
_cell_angle_beta 90.00
_cell_angle_gamma 90.00
loop_
_atom_site_label
_atom_site_fract_x
_atom_site_fract_y
_atom_site_fract_z
_atom_site_occupancy
Ca1 0.0000 0.0000 0.0000 1
Ca2 0.0000 0.0000 0.3323 1
Cd1 0.5000 0.5000 0.1691 1
In1 0.5000 0.5000 0.5000 1
```

Calculated values
Magnetic moment, μB per cell: 0.00
Volume, Å³ per atom: 28.392
Energy above the lowest structure with this stoichiometry, meV/atom: 6



[2]
The following is a PBE calculation of a geometry-optimized CaCd2In2 structure, from the Alexandria database.

```
data_CaCd2In2
_chemical_formula_sum 'Ca2 Cd4 In4'
_symmetry_space_group_name_H-M 'P 4/m b m'
_symmetry_Int_Tables_number 127
_symmetry_space_group_name_Hall '-P 4 2ab'
_cell_length_a 8.5512
_cell_length_b 8.5512
_cell_length_c 3.6644
_cell_angle_alpha 90.00
_cell_angle_beta 90.00
_cell_angle_gamma 90.00
loop_
_atom_site_label
_atom_site_fract_x
_atom_site_fract_y
_atom_site_fract_z
_atom_site_occupancy
Ca1 0.0000 0.0000 0.0000 1
Cd1 0.1680 0.3320 0.5000 1
In1 0.1302 0.6302 0.0000 1
```

Calculated values
Magnetic moment, μB per cell: 0.00
Volume, Å³ per atom: 26.796
Total energy, eV/atom: -1.9903



[3]
The following is a PBE calculation of a geometry-optimized Ca5CdIn6 structure, from the Alexandria database.

```
data_Ca5CdIn6
_chemical_formula_sum 'Ca10 Cd2 In12'
_symmetry_space_group_name_H-M 'C 1 2/m 1'
_symmetry_Int_Tables_number 12
_symmetry_space_group_name_Hall '-C 2y'
_cell_length_a 9.3672
_cell_length_b 16.1292
_cell_length_c 5.4213
_cell_angle_alpha 90.00
_cell_angle_beta 125.28
_cell_angle_gamma 90.00
loop_
_atom_site_label
_atom_site_fract_x
_atom_site_fract_y
_atom_site_fract_z
_atom_site_occupancy
Ca1 0.0000 0.0000 0.0000 1
Ca2 0.0000 0.1629 0.5000 1
Ca3 0.0000 0.3246 0.0000 1
Cd1 0.0000 0.5000 0.5000 1
In1 0.2242 0.5000 0.2233 1
In2 0.2313 0.3400 0.7317 1
```

Calculated values
Magnetic moment, μB per cell: 0.00
Volume, Å³ per atom: 27.861
Total energy, eV/atom: -2.6694



[4]
The following is a PBE calculation of a geometry-optimized CaCd2In2 structure, from the Alexandria database.

```
data_CaCd2In2
_chemical_formula_sum 'Ca2 Cd4 In4'
_symmetry_space_group_name_H-M 'C 1 2/m 1'
_symmetry_Int_Tables_number 12
_symmetry_space_group_name_Hall '-C 2y'
_cell_length_a 8.0346
_cell_length_b 6.9237
_cell_length_c 5.7622
_cell_angle_alpha 90.00
_cell_angle_beta 121.81
_cell_angle_gamma 90.00
loop_
_atom_site_label
_atom_site_fract_x
_atom_site_fract_y
_atom_site_fract_z
_atom_site_occupancy
Ca1 0.0000 0.0000 0.0000 1
Cd1 0.0000 0.2952 0.5000 1
In1 0.1969 0.5000 0.2303 1
```

Calculated values
Magnetic moment, μB per cell: 0.00
Volume, Å³ per atom: 27.241
Total energy, eV/atom: -2.0291



[5]
The following is a PBE calculation of a geometry-optimized CaCd3In structure, from the Alexandria database.

```
data_CaCd3In
_chemical_formula_sum 'Ca1 Cd3 In1'
_symmetry_space_group_name_H-M 'P m -3 m'
_symmetry_Int_Tables_number 221
_symmetry_space_group_name_Hall '-P 4 2 3'
_cell_length_a 5.4748
_cell_length_b 5.4748
_cell_length_c 5.4748
_cell_angle_alpha 90.00
_cell_angle_beta 90.00
_cell_angle_gamma 90.00
loop_
_atom_site_label
_atom_site_fract_x
_atom_site_fract_y
_atom_site_fract_z
_atom_site_occupancy
Ca1 0.0000 0.0000 0.0000 1
Cd1 0.0000 0.5000 0.5000 1
In1 0.5000 0.5000 0.5000 1
```

Calculated values
Magnetic moment, μB per cell: 0.00
Volume, Å³ per atom: 32.820
Energy above the lowest structure with this stoichiometry, meV/atom: 381



[6]
The following is a PBE calculation of a geometry-optimized CaCd5In6 structure, from the Alexandria database.

```
data_CaCd5In6
_chemical_formula_sum 'Ca2 Cd10 In12'
_symmetry_space_group_name_H-M 'C 1 2/m 1'
_symmetry_Int_Tables_number 12
_symmetry_space_group_name_Hall '-C 2y'
_cell_length_a 10.5009
_cell_length_b 13.9540
_cell_length_c 4.6273
_cell_angle_alpha 90.00
_cell_angle_beta 115.58
_cell_angle_gamma 90.00
loop_
_atom_site_label
_atom_site_fract_x
_atom_site_fract_y
_atom_site_fract_z
_atom_site_occupancy
Ca1 0.0000 0.0000 0.0000 1
Cd1 0.0000 0.1761 0.5000 1
Cd2 0.0000 0.3364 0.0000 1
Cd3 0.0000 0.5000 0.5000 1
In1 0.2459 0.5000 0.2478 1
In2 0.2494 0.1688 0.2494 1
```

Calculated values
Magnetic moment, μB per cell: 0.00
Volume, Å³ per atom: 25.483
Total energy, eV/atom: -1.9851



[7]
The following is a PBE calculation of a geometry-optimized Ca6Cd23In structure, from the Alexandria database.

```
data_Ca6Cd23In
_chemical_formula_sum 'Ca24 Cd92 In4'
_symmetry_space_group_name_H-M 'F m -3 m'
_symmetry_Int_Tables_number 225
_symmetry_space_group_name_Hall '-F 4 2 3'
_cell_length_a 14.3240
_cell_length_b 14.3240
_cell_length_c 14.3240
_cell_angle_alpha 90.00
_cell_angle_beta 90.00
_cell_angle_gamma 90.00
loop_
_atom_site_label
_atom_site_fract_x
_atom_site_fract_y
_atom_site_fract_z
_atom_site_occupancy
Ca1 0.0000 0.0000 0.2331 1
Cd1 0.0000 0.0000 0.5000 1
Cd2 0.0000 0.2500 0.2500 1
Cd3 0.1290 0.1290 0.3710 1
Cd4 0.1492 0.1492 0.1492 1
In1 0.0000 0.0000 0.0000 1
```

Calculated values
Magnetic moment, μB per cell: 0.00
Volume, Å³ per atom: 24.491
Total energy, eV/atom: -1.4271



[8]
The following is a PBE calculation of a geometry-optimized Ca12Cd6In structure, from the Alexandria database.

```
data_Ca12Cd6In
_chemical_formula_sum 'Ca24 Cd12 In2'
_symmetry_space_group_name_H-M 'I m -3'
_symmetry_Int_Tables_number 204
_symmetry_space_group_name_Hall '-I 2 2 3'
_cell_length_a 10.7581
_cell_length_b 10.7581
_cell_length_c 10.7581
_cell_angle_alpha 90.00
_cell_angle_beta 90.00
_cell_angle_gamma 90.00
loop_
_atom_site_label
_atom_site_fract_x
_atom_site_fract_y
_atom_site_fract_z
_atom_site_occupancy
Ca1 0.0000 0.2807 0.1823 1
Cd1 0.0000 0.1343 0.5000 1
In1 0.0000 0.0000 0.0000 1
```

Calculated values
Magnetic moment, μB per cell: 0.00
Volume, Å³ per atom: 32.766
Total energy, eV/atom: -1.9410